No. 1
VASP calculation (PBE) on crystalline AcTe3 at its relaxed geometry.

Unit cell a=4.6920 b=4.6933 c=6.7099 alpha=110.47 beta=110.46 gamma=90.00
With the nearest neighbours (Å) after each atom.
Atoms (fractional coordinates):
Ac  0.0000  0.9172  0.0000  4 Te 3.32
Te  0.2500  0.6662  0.5000  4 Te 3.32
Te  0.7500  0.1662  0.5000  4 Te 3.32
Te  0.5000  0.4170  0.0000  4 Ac 3.32

Calculated values
uncorrected formation energy	-0.88	eV per atom
calculated volume	128	Å³ per cell
SG	I4/mmm, No. 139
Fermi-level density of states	0.347	states/eV per atom
total magnetization	0.000	μB/atom

---

No. 2
VASP calculation (PBE) on crystalline Zn2NiOs at its relaxed geometry.

Unit cell a=2.6545 b=2.6545 c=8.7503 alpha=90.00 beta=90.00 gamma=117.30
With the nearest neighbours (Å) after each atom.
Atoms (fractional coordinates):
Ni  0.0000  0.0000  0.4976  2 Zn 2.46, 2 Os 2.52, 4 Ni 2.65
Zn  0.0000  0.0000  0.9995  8 Zn 2.65-2.76, 2 Os 2.67
Zn  0.5000  0.5000  0.2650  2 Ni 2.46, 6 Zn 2.65-2.70
Os  0.5000  0.5000  0.7379  2 Ni 2.52, 6 Os 2.65-2.76, 2 Zn 2.67

Calculated values
calculated volume	55	Å³ per cell
SG	Cmm2, No. 35
total DFT energy (no corrections)	-4.726	eV/atom
Fermi-level density of states	0.712	states/eV per atom
total magnetization	0.000	μB/atom

---

No. 3
VASP calculation (PBE) on crystalline ReSi2Pt at its relaxed geometry.

Unit cell a=4.6685 b=4.6685 c=4.2677 alpha=75.33 beta=75.33 gamma=38.71
With the nearest neighbours (Å) after each atom.
Atoms (fractional coordinates):
Re  0.7391  0.7391  0.8324  7 Si 2.49-2.72
Pt  0.5052  0.5052  0.4293  7 Si 2.43-2.66
Si  0.0038  0.0038  0.9365  3 Re 2.49-2.53, 4 Pt 2.61-2.66
Si  0.2519  0.2519  0.3018  3 Pt 2.43-2.60, 4 Re 2.56-2.72

Calculated values
uncorrected formation energy	-0.34	eV per atom
calculated volume	56	Å³ per cell
SG	Cm, No. 8
Fermi-level density of states	0.470	states/eV per atom
E above lowest polymorph	3	kJ/mol of formula units
total magnetization	0.000	μB/atom

---

No. 4
VASP calculation (PBE) on crystalline Th2Co12P3Ir at its relaxed geometry.

Unit cell a=7.3135 b=7.3135 c=7.3135 alpha=59.89 beta=59.89 gamma=59.89
With the nearest neighbours (Å) after each atom.
Atoms (fractional coordinates):
Co  0.1244  0.6107  0.1244  1 P 2.15, 1 Ir 2.32
Co  0.8911  0.3545  0.3545  2 P 2.12
Co  0.1244  0.1244  0.6107  1 P 2.15, 1 Ir 2.32
Co  0.3893  0.8756  0.8756  1 P 2.15, 1 Ir 2.32
Co  0.8756  0.3893  0.8756  1 P 2.15, 1 Ir 2.32
Co  0.6107  0.1244  0.1244  1 P 2.15, 1 Ir 2.32
Co  0.3545  0.8911  0.3545  2 P 2.12
Co  0.8756  0.8756  0.3893  1 P 2.15, 1 Ir 2.32
Co  0.6455  0.6455  0.1089  2 P 2.12
Co  0.1089  0.6455  0.6455  2 P 2.12
Co  0.3545  0.3545  0.8911  2 P 2.12
Co  0.6455  0.1089  0.6455  2 P 2.12
P  0.5000  0.0000  0.0000  6 Co 2.12-2.15
P  0.0000  0.0000  0.5000  6 Co 2.12-2.15
P  0.0000  0.5000  0.0000  6 Co 2.12-2.15
Th  0.6113  0.6113  0.6113  6 Co 2.66-2.75
Th  0.3887  0.3887  0.3887  6 Co 2.66-2.75
Ir  0.0000  0.0000  0.0000  6 Co 2.32

Calculated values
calculated volume	276	Å³ per cell
SG	R-3m, No. 166
total DFT energy (no corrections)	-6.776	eV/atom
Fermi-level density of states	1.279	states/eV per atom
total magnetization	0.082	μB/atom

---

No. 5
VASP calculation (PBE) on crystalline Tb4ThSc3 at its relaxed geometry.

Unit cell a=6.1012 b=6.9808 c=11.0311 alpha=90.00 beta=90.00 gamma=90.00
With the nearest neighbours (Å) after each atom.
Atoms (fractional coordinates):
Sc  0.0212  0.8800  0.2493  4 Sc 3.36-3.48, 1 Th 3.38, 7 Tb 3.39-3.54
Sc  0.3547  0.8842  0.5000  2 Th 3.30-3.68, 4 Sc 3.36-3.43, 6 Tb 3.36-3.64
Sc  0.8547  0.1158  0.0000  2 Th 3.30-3.68, 4 Sc 3.36-3.43, 6 Tb 3.36-3.64
Sc  0.5212  0.1200  0.2507  4 Sc 3.36-3.48, 1 Th 3.38, 7 Tb 3.39-3.54
Sc  0.0212  0.8800  0.7507  4 Sc 3.36-3.48, 1 Th 3.38, 7 Tb 3.39-3.54
Sc  0.5212  0.1200  0.7493  4 Sc 3.36-3.48, 1 Th 3.38, 7 Tb 3.39-3.54
Th  0.8464  0.6427  0.0000  4 Sc 3.30-3.68, 7 Tb 3.42-3.48
Th  0.3464  0.3573  0.5000  4 Sc 3.30-3.68, 7 Tb 3.42-3.48
Tb  0.8757  0.6293  0.5000  4 Sc 3.39-3.64, 6 Tb 3.41-3.53, 2 Th 3.44-3.75
Tb  0.5243  0.6267  0.7400  5 Sc 3.36-3.54, 5 Tb 3.41-3.53, 2 Th 3.42-3.48
Tb  0.8474  0.1241  0.5000  6 Sc 3.39-3.52, 2 Th 3.45-3.46, 4 Tb 3.46-3.53
Tb  0.5243  0.6267  0.2600  5 Sc 3.36-3.54, 5 Tb 3.41-3.53, 2 Th 3.42-3.48
Tb  0.0243  0.3733  0.7600  5 Sc 3.36-3.54, 5 Tb 3.41-3.53, 2 Th 3.42-3.48
Tb  0.3474  0.8759  0.0000  6 Sc 3.39-3.52, 2 Th 3.45-3.46, 4 Tb 3.46-3.53
Tb  0.3757  0.3707  0.0000  4 Sc 3.39-3.64, 6 Tb 3.41-3.53, 2 Th 3.44-3.75
Tb  0.0243  0.3733  0.2400  5 Sc 3.36-3.54, 5 Tb 3.41-3.53, 2 Th 3.42-3.48

Calculated values
calculated volume	470	Å³ per cell
SG	Pmn2_1, No. 31
Fermi-level density of states	1.778	states/eV per atom
E above lowest polymorph	0	kJ/mol of formula units
total magnetization	0.000	μB/atom

---

No. 6
VASP calculation (PBE) on crystalline BaSiAgAs2 at its relaxed geometry.

Unit cell a=6.0981 b=7.2079 c=6.8100 alpha=90.00 beta=90.00 gamma=115.02
With the nearest neighbours (Å) after each atom.
Atoms (fractional coordinates):
Si  0.7500  0.0000  0.0000  4 As 2.48
Si  0.2500  0.0000  0.0000  4 As 2.48
As  0.3906  0.7812  0.8047  2 Si 2.48, 1 Ag 2.52
As  0.6094  0.2188  0.1953  2 Si 2.48, 1 Ag 2.52
As  0.1094  0.2188  0.8047  2 Si 2.48, 1 Ag 2.52
As  0.8906  0.7812  0.1953  2 Si 2.48, 1 Ag 2.52
Ag  0.0000  0.0000  0.5000  2 As 2.52
Ag  0.5000  0.0000  0.5000  2 As 2.52
Ba  0.2500  0.5000  0.2339  6 As 3.45-3.57, 2 Ag 3.73
Ba  0.7500  0.5000  0.7661  6 As 3.45-3.57, 2 Ag 3.73

Calculated values
uncorrected formation energy	-0.33	eV per atom
calculated volume	271	Å³ per cell
SG	Cmme, No. 67
Fermi-level density of states	0.316	states/eV per atom
total magnetization	0.000	μB/atom